## SrInAgHg2 (GGA-PBE)

Data for a relaxed structure of SrInAgHg2. Values from VASP.

Properties
Symmetry: Pmma
ΔE_f, eV/atom: -0.268
Energy, eV/cell: -18.4

Quantum ESPRESSO input file:
```
&SYSTEM
  ibrav = 0, nat = 10, ntyp = 4
/
ATOMIC_SPECIES
Sr 87.62 Sr.upf
In 114.82 In.upf
Ag 107.87 Ag.upf
Hg 200.59 Hg.upf
ATOMIC_POSITIONS crystal
Sr 0.2500 0.0000 0.2326
Sr 0.7500 0.0000 0.7674
In 0.2500 0.5000 0.3849
In 0.7500 0.5000 0.6151
Ag 0.0000 0.5000 0.0000
Ag 0.5000 0.5000 0.0000
Hg 0.2500 0.2215 0.7376
Hg 0.2500 0.7785 0.7376
Hg 0.7500 0.2215 0.2624
Hg 0.7500 0.7785 0.2624
CELL_PARAMETERS angstrom
6.0627 0.0000 0.0000
0.0000 6.9130 0.0000
0.0000 0.0000 6.3631
```